ScHgAsO: optimized geometry, PBE-GGA.

- Volume: 19.28 Å³ per atom
- Space group: Pmc2_1, No. 26
- E: -5.222 eV/atom

a = 4.158 Å, b = 5.601 Å, c = 6.623 Å
α = 90.00°, β = 90.00°, γ = 90.00°
Fractional coordinates of all 8 atoms:
Sc 0.000 0.248 0.000
Sc 0.000 0.752 0.500
Hg 0.500 0.258 0.636
Hg 0.500 0.742 0.136
As 0.000 0.250 0.411
As 0.000 0.750 0.911
O 0.500 0.249 0.985
O 0.500 0.751 0.485

ScHgAsO: optimized geometry, PBE-GGA.

- Volume: 23.62 Å³ per atom
- Space group: Pmc2_1, No. 26
- E: -5.294 eV/atom

a = 4.477 Å, b = 6.589 Å, c = 6.405 Å
α = 90.00°, β = 90.00°, γ = 90.00°
Fractional coordinates of all 8 atoms:
Sc 0.000 0.104 0.000
Sc 0.000 0.896 0.500
Hg 0.500 0.359 0.446
Hg 0.500 0.641 0.946
As 0.500 0.267 0.834
As 0.500 0.733 0.334
O 0.000 0.123 0.306
O 0.000 0.877 0.806

HgAsSeO: optimized geometry, PBE-GGA.

- Volume: 22.89 Å³ per atom
- Space group: P4/nmm, No. 129
- E: -3.529 eV/atom

a = 4.318 Å, b = 4.318 Å, c = 9.824 Å
α = 90.00°, β = 90.00°, γ = 90.00°
Fractional coordinates of all 8 atoms:
Hg 0.250 0.750 0.000
Hg 0.750 0.250 0.000
As 0.250 0.250 0.456
As 0.750 0.750 0.544
Se 0.250 0.250 0.208
Se 0.750 0.750 0.792
O 0.250 0.750 0.500
O 0.750 0.250 0.500

HgAsSeO: optimized geometry, PBE-GGA.

- Volume: 23.49 Å³ per atom
- Space group: P2_1, No. 4
- E: -3.842 eV/atom

a = 5.331 Å, b = 6.867 Å, c = 10.566 Å
α = 90.00°, β = 103.65°, γ = 90.00°
Fractional coordinates of all 16 atoms:
Hg 0.014 0.000 0.420
Hg 0.446 0.000 0.605
Hg 0.554 0.500 0.395
Hg 0.986 0.500 0.580
As 0.049 0.349 0.089
As 0.460 0.342 0.901
As 0.540 0.842 0.099
As 0.951 0.849 0.911
Se 0.120 0.612 0.252
Se 0.424 0.590 0.727
Se 0.576 0.090 0.273
Se 0.880 0.112 0.748
O 0.235 0.465 0.983
O 0.258 0.962 0.995
O 0.742 0.462 0.005
O 0.765 0.965 0.017

HgAsSeO: optimized geometry, PBE-GGA.

- Volume: 26.30 Å³ per atom
- Space group: Pmc2_1, No. 26
- E: -3.661 eV/atom

a = 4.462 Å, b = 8.644 Å, c = 5.456 Å
α = 90.00°, β = 90.00°, γ = 90.00°
Fractional coordinates of all 8 atoms:
Hg 0.000 0.162 0.000
Hg 0.000 0.838 0.500
As 0.500 0.366 0.662
As 0.500 0.634 0.162
Se 0.000 0.200 0.489
Se 0.000 0.800 0.989
O 0.500 0.464 0.976
O 0.500 0.536 0.476

SmHgAsO: optimized geometry, PBE-GGA.

- Volume: 22.02 Å³ per atom
- Space group: P4/nmm, No. 129
- E: -4.711 eV/atom

a = 6.032 Å, b = 6.032 Å, c = 4.841 Å
α = 90.00°, β = 90.00°, γ = 90.00°
Fractional coordinates of all 8 atoms:
Sm 0.250 0.750 0.000
Sm 0.750 0.250 0.000
Hg 0.250 0.250 0.498
Hg 0.750 0.750 0.502
As 0.250 0.250 0.998
As 0.750 0.750 0.002
O 0.250 0.750 0.500
O 0.750 0.250 0.500

SmHgAsO: optimized geometry, PBE-GGA.

- Volume: 23.34 Å³ per atom
- Space group: Pmc2_1, No. 26
- E: -4.910 eV/atom

a = 4.490 Å, b = 6.677 Å, c = 6.229 Å
α = 90.00°, β = 90.00°, γ = 90.00°
Fractional coordinates of all 8 atoms:
Sm 0.000 0.237 0.000
Sm 0.000 0.763 0.500
Hg 0.500 0.351 0.593
Hg 0.500 0.649 0.093
As 0.000 0.206 0.486
As 0.000 0.794 0.986
O 0.500 0.297 0.006
O 0.500 0.703 0.506

SmHgAsO: optimized geometry, PBE-GGA.

- Volume: 20.05 Å³ per atom
- Space group: P4/nmm, No. 129
- E: -5.199 eV/atom

a = 4.172 Å, b = 4.172 Å, c = 9.217 Å
α = 90.00°, β = 90.00°, γ = 90.00°
Fractional coordinates of all 8 atoms:
Sm 0.250 0.250 0.117
Sm 0.750 0.750 0.883
Hg 0.250 0.750 0.500
Hg 0.750 0.250 0.500
As 0.250 0.250 0.707
As 0.750 0.750 0.293
O 0.250 0.750 0.000
O 0.750 0.250 0.000

SmHgAsO: optimized geometry, PBE-GGA.

- Volume: 23.23 Å³ per atom
- Space group: Pmc2_1, No. 26
- E: -4.882 eV/atom

a = 4.404 Å, b = 6.062 Å, c = 6.960 Å
α = 90.00°, β = 90.00°, γ = 90.00°
Fractional coordinates of all 8 atoms:
Sm 0.000 0.062 0.000
Sm 0.000 0.938 0.500
Hg 0.500 0.424 0.406
Hg 0.500 0.576 0.906
As 0.500 0.202 0.729
As 0.500 0.798 0.229
O 0.000 0.218 0.291
O 0.000 0.782 0.791

SnHgAsO: optimized geometry, PBE-GGA.

- Volume: 23.80 Å³ per atom
- Space group: Pmc2_1, No. 26
- E: -3.775 eV/atom

a = 4.076 Å, b = 6.985 Å, c = 6.687 Å
α = 90.00°, β = 90.00°, γ = 90.00°
Fractional coordinates of all 8 atoms:
Sn 0.000 0.135 0.000
Sn 0.000 0.865 0.500
Hg 0.500 0.295 0.454
Hg 0.500 0.705 0.954
As 0.500 0.334 0.850
As 0.500 0.666 0.350
O 0.000 0.115 0.321
O 0.000 0.885 0.821

SnHgAsO: optimized geometry, PBE-GGA.

- Volume: 24.01 Å³ per atom
- Space group: P4/nmm, No. 129
- E: -3.401 eV/atom

a = 4.651 Å, b = 4.651 Å, c = 8.879 Å
α = 90.00°, β = 90.00°, γ = 90.00°
Fractional coordinates of all 8 atoms:
Sn 0.250 0.750 0.000
Sn 0.750 0.250 0.000
Hg 0.250 0.250 0.463
Hg 0.750 0.750 0.537
As 0.250 0.250 0.825
As 0.750 0.750 0.175
O 0.250 0.750 0.500
O 0.750 0.250 0.500

SnHgAsO: optimized geometry, PBE-GGA.

- Volume: 22.61 Å³ per atom
- Space group: Pmc2_1, No. 26
- E: -3.748 eV/atom

a = 4.247 Å, b = 6.573 Å, c = 6.481 Å
α = 90.00°, β = 90.00°, γ = 90.00°
Fractional coordinates of all 8 atoms:
Sn 0.000 0.234 0.000
Sn 0.000 0.766 0.500
Hg 0.500 0.319 0.569
Hg 0.500 0.681 0.069
As 0.000 0.169 0.411
As 0.000 0.831 0.911
O 0.500 0.318 0.945
O 0.500 0.682 0.445

SnHgAsO: optimized geometry, PBE-GGA.

- Volume: 20.67 Å³ per atom
- Space group: P4/nmm, No. 129
- E: -3.831 eV/atom

a = 4.050 Å, b = 4.050 Å, c = 10.080 Å
α = 90.00°, β = 90.00°, γ = 90.00°
Fractional coordinates of all 8 atoms:
Sn 0.250 0.250 0.109
Sn 0.750 0.750 0.891
Hg 0.250 0.750 0.500
Hg 0.750 0.250 0.500
As 0.250 0.250 0.691
As 0.750 0.750 0.309
O 0.250 0.750 0.000
O 0.750 0.250 0.000

Sr2Zn2HgAs2O2: optimized geometry, PBE-GGA.

- Volume: 19.65 Å³ per atom
- Space group: I4/mmm, No. 139
- E: -3.812 eV/atom

a = 9.773 Å, b = 9.773 Å, c = 9.773 Å
α = 154.18°, β = 154.18°, γ = 36.84°
Fractional coordinates of all 9 atoms:
Sr 0.089 0.089 0.000
Sr 0.911 0.911 0.000
Zn 0.250 0.750 0.500
Zn 0.750 0.250 0.500
Hg 0.500 0.500 0.000
As 0.328 0.328 0.000
As 0.672 0.672 0.000
O 0.000 0.500 0.500
O 0.500 0.000 0.500

Tb2ZnHgAs2O2: optimized geometry, PBE-GGA.

- Volume: 18.30 Å³ per atom
- Space group: P-4m2, No. 115
- E: -5.430 eV/atom

a = 4.030 Å, b = 4.030 Å, c = 9.017 Å
α = 90.00°, β = 90.00°, γ = 90.00°
Fractional coordinates of all 8 atoms:
Tb 0.000 0.500 0.119
Tb 0.500 0.000 0.881
Zn 0.500 0.500 0.500
Hg 0.000 0.000 0.500
As 0.000 0.500 0.700
As 0.500 0.000 0.300
O 0.000 0.000 0.000
O 0.500 0.500 0.000

TlHgAsO: optimized geometry, PBE-GGA.

- Volume: 24.04 Å³ per atom
- Space group: Pmc2_1, No. 26
- E: -3.168 eV/atom

a = 4.261 Å, b = 6.831 Å, c = 6.607 Å
α = 90.00°, β = 90.00°, γ = 90.00°
Fractional coordinates of all 8 atoms:
Tl 0.000 0.149 0.000
Tl 0.000 0.851 0.500
Hg 0.500 0.312 0.434
Hg 0.500 0.688 0.934
As 0.500 0.317 0.832
As 0.500 0.683 0.332
O 0.000 0.147 0.340
O 0.000 0.853 0.840

TlHgAsO: optimized geometry, PBE-GGA.

- Volume: 25.83 Å³ per atom
- Space group: P4/nmm, No. 129
- E: -2.918 eV/atom

a = 4.635 Å, b = 4.635 Å, c = 9.619 Å
α = 90.00°, β = 90.00°, γ = 90.00°
Fractional coordinates of all 8 atoms:
Tl 0.250 0.750 0.000
Tl 0.750 0.250 0.000
Hg 0.250 0.250 0.459
Hg 0.750 0.750 0.541
As 0.250 0.250 0.171
As 0.750 0.750 0.829
O 0.250 0.750 0.500
O 0.750 0.250 0.500

TlHgAsO: optimized geometry, PBE-GGA.

- Volume: 23.84 Å³ per atom
- Space group: Pmc2_1, No. 26
- E: -3.141 eV/atom

a = 4.092 Å, b = 6.847 Å, c = 6.808 Å
α = 90.00°, β = 90.00°, γ = 90.00°
Fractional coordinates of all 8 atoms:
Tl 0.000 0.191 0.000
Tl 0.000 0.809 0.500
Hg 0.500 0.342 0.585
Hg 0.500 0.658 0.085
As 0.000 0.194 0.402
As 0.000 0.806 0.902
O 0.500 0.339 0.924
O 0.500 0.661 0.424

TlHgAsO: optimized geometry, PBE-GGA.

- Volume: 20.94 Å³ per atom
- Space group: P4/nmm, No. 129
- E: -3.050 eV/atom

a = 4.194 Å, b = 4.194 Å, c = 9.523 Å
α = 90.00°, β = 90.00°, γ = 90.00°
Fractional coordinates of all 8 atoms:
Tl 0.250 0.250 0.111
Tl 0.750 0.750 0.889
Hg 0.250 0.750 0.500
Hg 0.750 0.250 0.500
As 0.250 0.250 0.698
As 0.750 0.750 0.302
O 0.250 0.750 0.000
O 0.750 0.250 0.000

YHgAsO: optimized geometry, PBE-GGA.

- Volume: 19.50 Å³ per atom
- Space group: P4/nmm, No. 129
- E: -5.618 eV/atom

a = 4.119 Å, b = 4.119 Å, c = 9.195 Å
α = 90.00°, β = 90.00°, γ = 90.00°
Fractional coordinates of all 8 atoms:
Y 0.250 0.250 0.111
Y 0.750 0.750 0.889
Hg 0.250 0.750 0.500
Hg 0.750 0.250 0.500
As 0.250 0.250 0.711
As 0.750 0.750 0.289
O 0.250 0.750 0.000
O 0.750 0.250 0.000